No. 1
Entry from the Alexandria database: BaTiSeN2 after structural relaxation (GGA-PBE).

Cell: 4.3107 4.3107 6.2799 Å, 90.00 90.00 90.00°
With the nearest neighbours (Å) after each atom.
Fractional coordinates of all 5 atoms:
Ba (0.0000, 0.0000, 0.0000)  4 N 2.16
Ti (0.5000, 0.5000, 0.5000)  4 Se 3.05
Se (0.0000, 0.0000, 0.5000)  4 Ti 3.05, 2 Ba 3.14
N (0.0000, 0.5000, 0.0000)  2 Ba 2.16
N (0.5000, 0.0000, 0.0000)  2 Ba 2.16

Output
E_form (uncorrected) (eV per atom): 1.60
Space group: P4/mmm, No. 123

No. 2
Entry from the Alexandria database: ZrPt5 after structural relaxation (GGA-PBE).

Cell: 4.9623 4.9623 4.6285 Å, 90.00 90.00 120.00°
With the nearest neighbours (Å) after each atom.
Fractional coordinates of all 6 atoms:
Zr (0.0000, 0.0000, 0.0000)  12 Pt 2.87-2.88
Pt (0.0000, 0.6552, 0.5000)  10 Pt 2.82-2.96, 2 Zr 2.88
Pt (0.3333, 0.6667, 0.0000)  9 Pt 2.83-2.87, 3 Zr 2.87
Pt (0.3448, 0.3448, 0.5000)  10 Pt 2.82-2.96, 2 Zr 2.88
Pt (0.6552, 0.0000, 0.5000)  10 Pt 2.82-2.96, 2 Zr 2.88
Pt (0.6667, 0.3333, 0.0000)  9 Pt 2.83-2.87, 3 Zr 2.87

Output
Space group: P-62m, No. 189
Formation enthalpy at 0 K (eV per atom): -0.65

No. 3
Entry from the Alexandria database: HoTmInSn after structural relaxation (GGA-PBE).

Cell: 5.2938 5.2938 5.2938 Å, 60.00 60.00 60.00°
With the nearest neighbours (Å) after each atom.
Fractional coordinates of all 4 atoms:
Ho (0.0000, 0.0000, 0.0000)  4 In 3.24, 4 Sn 3.24
Tm (0.5000, 0.5000, 0.5000)  4 In 3.24, 4 Sn 3.24
In (0.7500, 0.7500, 0.7500)  4 Ho 3.24, 4 Tm 3.24
Sn (0.2500, 0.2500, 0.2500)  4 Ho 3.24, 4 Tm 3.24

Output
Space group: F-43m, No. 216
Formation enthalpy at 0 K (eV per atom): -0.47

No. 4
Entry from the Alexandria database: Co2AgSn2 after structural relaxation (GGA-PBE).

Cell: 6.5291 6.5291 6.5291 Å, 144.57 144.57 50.98°
With the nearest neighbours (Å) after each atom.
Fractional coordinates of all 5 atoms:
Co (0.2500, 0.7500, 0.5000)  4 Sn 2.50
Co (0.7500, 0.2500, 0.5000)  4 Sn 2.50
Ag (0.0000, 0.0000, 0.0000)  8 Sn 3.15
Sn (0.3794, 0.3794, 0.0000)  4 Co 2.50
Sn (0.6206, 0.6206, 0.0000)  4 Co 2.50

Output
Space group: I4/mmm, No. 139
Formation enthalpy at 0 K (eV per atom): 0.33

No. 5
Entry from the Alexandria database: Ac2Be2O5 after structural relaxation (GGA-PBE).

Cell: 5.2957 5.2957 5.8823 Å, 103.26 103.26 44.72°
With the nearest neighbours (Å) after each atom.
Fractional coordinates of all 9 atoms:
Ac (0.0925, 0.0925, 0.3000)  7 O 2.43-2.68
Ac (0.9075, 0.9075, 0.7000)  7 O 2.43-2.68
Be (0.3367, 0.3367, 0.1007)  3 O 1.64-1.84
Be (0.6633, 0.6633, 0.8993)  3 O 1.64-1.84
O (0.1733, 0.1733, 0.9419)  1 Be 1.64
O (0.3534, 0.3534, 0.3899)  1 Be 1.67
O (0.5000, 0.5000, 0.0000)  2 Be 1.84
O (0.6466, 0.6466, 0.6101)  1 Be 1.67
O (0.8267, 0.8267, 0.0581)  1 Be 1.64

Output
E_form (uncorrected) (eV per atom): -2.74
Space group: C2/m, No. 12

No. 6
Entry from the Alexandria database: SnNF2 after structural relaxation (GGA-PBE).

Cell: 4.2383 4.1844 6.8209 Å, 90.00 107.91 90.00°
With the nearest neighbours (Å) after each atom.
Fractional coordinates of all 8 atoms:
Sn (0.1014, 0.2500, 0.2069)  3 F 1.95-2.13, 2 N 2.14
Sn (0.8986, 0.7500, 0.7931)  3 F 1.95-2.13, 2 N 2.14
N (0.0676, 0.7500, 0.1365)  3 Sn 2.14-2.23
N (0.9324, 0.2500, 0.8635)  3 Sn 2.14-2.23
F (0.2521, 0.2500, 0.5072)  1 Sn 1.95
F (0.4124, 0.7500, 0.8216)  2 Sn 2.13
F (0.5876, 0.2500, 0.1784)  2 Sn 2.13
F (0.7479, 0.7500, 0.4928)  1 Sn 1.95

Output
E_form (uncorrected) (eV per atom): -0.97
Space group: P2_1/m, No. 11

| no. | DOS at the Fermi energy (states/eV/atom) |
| --- | --- |
| 1 | 1.345 |
| 2 | 0.926 |
| 3 | 0.808 |
| 4 | 0.760 |
| 5 | 0.000 |
| 6 | 0.312 |